Record 1
VASP calculation (GGA-PBE) on TmBS2 after structural relaxation.

For the total energy, the calculation gives -5.374 eV per atom. The value obtained for the magnetization is 0.0 μB per cell.

Cell and atoms, written as CIF:
```
data_TmBS2
_space_group_name_H-M_alt 'P -6 m 2'
_space_group_IT_number 187
_space_group_name_Hall 'P -6 2'
_cell_length_a 3.7040
_cell_length_b 3.7040
_cell_length_c 6.8443
_cell_angle_alpha 90.00
_cell_angle_beta 90.00
_cell_angle_gamma 120.00
loop_
_atom_site_label
_atom_site_type_symbol
_atom_site_fract_x
_atom_site_fract_y
_atom_site_fract_z
_atom_site_occupancy
Tm1 Tm 0.0000 0.0000 0.0000 1
B1 B 0.3333 0.6667 0.5000 1
S1 S 0.3333 0.6667 0.2495 1
```

Record 2
VASP calculation (GGA-PBE) on BW2S after structural relaxation.

For the total energy, the calculation gives -9.262 eV per atom. The value obtained for the magnetization is 0.0 μB per cell.

Cell and atoms, written as CIF:
```
data_BW2S
_space_group_name_H-M_alt 'P 63/m m c'
_space_group_IT_number 194
_space_group_name_Hall '-P 6c 2c'
_cell_length_a 3.2560
_cell_length_b 3.2560
_cell_length_c 11.6977
_cell_angle_alpha 90.00
_cell_angle_beta 90.00
_cell_angle_gamma 120.00
loop_
_atom_site_label
_atom_site_type_symbol
_atom_site_fract_x
_atom_site_fract_y
_atom_site_fract_z
_atom_site_occupancy
B1 B 0.0000 0.0000 0.0000 1
W1 W 0.3333 0.6667 0.0946 1
S1 S 0.3333 0.6667 0.7500 1
```

Record 3
VASP calculation (GGA-PBE) on B3W4S after structural relaxation.

For the total energy, the calculation gives -9.619 eV per atom. The value obtained for the magnetization is 0.0 μB per cell.

Cell and atoms, written as CIF:
```
data_B3W4S
_space_group_name_H-M_alt 'P 63/m m c'
_space_group_IT_number 194
_space_group_name_Hall '-P 6c 2c'
_cell_length_a 3.1669
_cell_length_b 3.1669
_cell_length_c 22.5670
_cell_angle_alpha 90.00
_cell_angle_beta 90.00
_cell_angle_gamma 120.00
loop_
_atom_site_label
_atom_site_type_symbol
_atom_site_fract_x
_atom_site_fract_y
_atom_site_fract_z
_atom_site_occupancy
B1 B 0.0000 0.0000 0.0000 1
B2 B 0.3333 0.6667 0.1153 1
W1 W 0.0000 0.0000 0.1668 1
W2 W 0.3333 0.6667 0.5598 1
S1 S 0.3333 0.6667 0.7500 1
```

Record 4
VASP calculation (GGA-PBE) on B2W2S after structural relaxation.

For the total energy, the calculation gives -8.711 eV per atom. The value obtained for the magnetization is 0.0 μB per cell.

Cell and atoms, written as CIF:
```
data_B2W2S
_space_group_name_H-M_alt 'C m m m'
_space_group_IT_number 65
_space_group_name_Hall '-C 2 2'
_cell_length_a 2.992
_cell_length_b 12.330
_cell_length_c 2.996
_cell_angle_alpha 90.00
_cell_angle_beta 90.00
_cell_angle_gamma 90.00
loop_
_atom_site_label
_atom_site_type_symbol
_atom_site_fract_x
_atom_site_fract_y
_atom_site_fract_z
_atom_site_occupancy
B1 B 0.000 0.214 0.000 1
W1 W 0.000 0.363 0.500 1
S1 S 0.000 0.000 0.000 1
```

Record 5
VASP calculation (GGA-PBE) on B2W3S after structural relaxation.

For the total energy, the calculation gives -9.482 eV per atom. The value obtained for the magnetization is 0.0 μB per cell.

Cell and atoms, written as CIF:
```
data_B2W3S
_space_group_name_H-M_alt 'P 63/m m c'
_space_group_IT_number 194
_space_group_name_Hall '-P 6c 2c'
_cell_length_a 3.1553
_cell_length_b 3.1553
_cell_length_c 17.3283
_cell_angle_alpha 90.00
_cell_angle_beta 90.00
_cell_angle_gamma 120.00
loop_
_atom_site_label
_atom_site_type_symbol
_atom_site_fract_x
_atom_site_fract_y
_atom_site_fract_z
_atom_site_occupancy
B1 B 0.3333 0.6667 0.0750 1
W1 W 0.0000 0.0000 0.0000 1
W2 W 0.3333 0.6667 0.6456 1
S1 S 0.0000 0.0000 0.2500 1
```

Record 6
VASP calculation (GGA-PBE) on Zr2B2S after structural relaxation.

For the total energy, the calculation gives -7.815 eV per atom. The value obtained for the magnetization is 0.0 μB per cell.

Cell and atoms, written as CIF:
```
data_Zr2B2S
_space_group_name_H-M_alt 'C m m m'
_space_group_IT_number 65
_space_group_name_Hall '-C 2 2'
_cell_length_a 3.143
_cell_length_b 12.990
_cell_length_c 3.350
_cell_angle_alpha 90.00
_cell_angle_beta 90.00
_cell_angle_gamma 90.00
loop_
_atom_site_label
_atom_site_type_symbol
_atom_site_fract_x
_atom_site_fract_y
_atom_site_fract_z
_atom_site_occupancy
Zr1 Zr 0.000 0.136 0.000 1
B1 B 0.000 0.272 0.500 1
S1 S 0.000 0.500 0.500 1
```

Record 7
VASP calculation (GGA-PBE) on Zr3B4S after structural relaxation.

For the total energy, the calculation gives -7.923 eV per atom. The value obtained for the magnetization is 0.0 μB per cell.

Cell and atoms, written as CIF:
```
data_Zr3B4S
_space_group_name_H-M_alt 'P m m m'
_space_group_IT_number 47
_space_group_name_Hall '-P 2 2'
_cell_length_a 3.138
_cell_length_b 3.359
_cell_length_c 9.522
_cell_angle_alpha 90.00
_cell_angle_beta 90.00
_cell_angle_gamma 90.00
loop_
_atom_site_label
_atom_site_type_symbol
_atom_site_fract_x
_atom_site_fract_y
_atom_site_fract_z
_atom_site_occupancy
Zr1 Zr 0.000 0.000 0.000 1
Zr2 Zr 0.500 0.000 0.308 1
B1 B 0.000 0.500 0.188 1
B2 B 0.500 0.500 0.109 1
S1 S 0.000 0.500 0.500 1
```

Record 8
VASP calculation (GGA-PBE) on ZrB2S5 after structural relaxation.

For the total energy, the calculation gives -6.046 eV per atom. The value obtained for the magnetization is 0.0 μB per cell.

Cell and atoms, written as CIF:
```
data_ZrB2S5
_space_group_name_H-M_alt 'P 1 21/c 1'
_space_group_IT_number 14
_space_group_name_Hall '-P 2ybc'
_cell_length_a 5.426
_cell_length_b 8.792
_cell_length_c 11.210
_cell_angle_alpha 90.00
_cell_angle_beta 91.44
_cell_angle_gamma 90.00
loop_
_atom_site_label
_atom_site_type_symbol
_atom_site_fract_x
_atom_site_fract_y
_atom_site_fract_z
_atom_site_occupancy
Zr1 Zr 0.005 0.110 0.169 1
B1 B 0.456 0.088 0.664 1
B2 B 0.482 0.728 0.582 1
S1 S 0.202 0.592 0.830 1
S2 S 0.243 0.582 0.529 1
S3 S 0.271 0.160 0.802 1
S4 S 0.304 0.205 0.539 1
S5 S 0.316 0.612 0.163 1
```

Question: magnetization of number 1 (TmBS2)?
Answer: 0.0 μB per cell